Here is Be2TcPb after structural relaxation from the Alexandria database. Energies are from PBEsol.

Unit cell a=3.383 b=3.975 c=3.975 alpha=90.00 beta=90.00 gamma=90.00
Atoms (fractional coordinates):
Be (0.000, 0.000, 0.500)
Be (0.000, 0.500, 0.000)
Tc (0.500, 0.000, 0.000)
Pb (0.500, 0.500, 0.500)

Results
Theoretical density = 10.04 g cm⁻³
Density of states at the Fermi level = 2.25 states/eV/cell
Energy relative to the elements = 0.48 eV/atom
Spin magnetization = 0.00 μB per cell
Energy = -5.335 eV per atom